BeTc2Rh: optimized geometry, PBE-GGA.

a b c (Å): 4.244 3.540 3.540
angles (deg): 90.00 90.00 90.00
Sites, in units of the cell vectors:
Be 0.500 0.500 0.000
Rh 0.500 0.000 0.500
Tc 0.000 0.000 0.000
Tc 0.000 0.500 0.500

Properties
DFT formation energy   0.00 eV per atom